(1)
! SrZn2InAu (PBE, relaxed); values from VASP
! - SG: No. 44
! - Fermi-level density of states: 0.56 states/eV per atom
! - Energy relative to the elements: -0.397 eV/atom
! - Spin magnetization: 0.0 Bohr magnetons per cell
&SYSTEM
  ibrav = 0, nat = 5, ntyp = 4
/
ATOMIC_SPECIES
Sr 87.62 Sr.upf
Zn 65.41 Zn.upf
In 114.82 In.upf
Au 196.97 Au.upf
CELL_PARAMETERS angstrom
-3.687 2.026 1.162
-1.316 0.059 -4.280
-0.151 -6.295 2.301
ATOMIC_POSITIONS angstrom
Sr -2.333 -4.620 0.653
Zn -2.869 -1.019 0.868
Zn -0.291 -0.577 0.082
In -1.653 -1.940 -1.861
Au -4.286 -2.491 -1.059

---

(2)
! SrZnInAu2 (PBE, relaxed); values from VASP
! - SG: No. 123
! - Fermi-level density of states: 0.43 states/eV per atom
! - Energy above the most stable polymorph in this dataset: 391 meV/atom
! - Energy relative to the elements: -0.130 eV/atom
! - Spin magnetization: 0.0 Bohr magnetons per cell
&SYSTEM
  ibrav = 0, nat = 5, ntyp = 4
/
ATOMIC_SPECIES
Sr 87.62 Sr.upf
Zn 65.41 Zn.upf
Au 196.97 Au.upf
In 114.82 In.upf
CELL_PARAMETERS angstrom
-4.226 -3.106 -0.836
1.455 -2.991 3.755
-2.823 2.921 3.420
ATOMIC_POSITIONS angstrom
Sr -2.797 -1.588 3.170
Zn 0.728 -1.495 1.878
Au -1.412 1.460 1.710
Au -2.113 -1.553 -0.418
In 0.000 0.000 0.000

---

(3)
! SrZnInAu2 (PBE, relaxed); values from VASP
! - SG: No. 119
! - Fermi-level density of states: 0.44 states/eV per atom
! - Energy above the most stable polymorph in this dataset: 0 meV/atom
! - Energy relative to the elements: -0.520 eV/atom
! - Spin magnetization: 0.0 Bohr magnetons per cell
&SYSTEM
  ibrav = 0, nat = 5, ntyp = 4
/
ATOMIC_SPECIES
Sr 87.62 Sr.upf
Zn 65.41 Zn.upf
In 114.82 In.upf
Au 196.97 Au.upf
CELL_PARAMETERS angstrom
-2.307 1.145 3.529
0.088 -4.137 1.400
6.413 2.655 0.627
ATOMIC_POSITIONS angstrom
Sr 0.000 0.000 0.000
Zn 2.696 -1.489 2.246
In 1.498 1.152 3.310
Au 0.074 -1.238 3.154
Au 4.120 0.900 2.401

---

Among the records above, which one has the highest energy relative to the elements?
number 2

---

What did the third record say?
! SrZnInAu2 (PBE, relaxed); values from VASP
! - SG: No. 119
! - Fermi-level density of states: 0.44 states/eV per atom
! - Energy above the most stable polymorph in this dataset: 0 meV/atom
! - Energy relative to the elements: -0.520 eV/atom
! - Spin magnetization: 0.0 Bohr magnetons per cell
&SYSTEM
  ibrav = 0, nat = 5, ntyp = 4
/
ATOMIC_SPECIES
Sr 87.62 Sr.upf
Zn 65.41 Zn.upf
In 114.82 In.upf
Au 196.97 Au.upf
CELL_PARAMETERS angstrom
-2.307 1.145 3.529
0.088 -4.137 1.400
6.413 2.655 0.627
ATOMIC_POSITIONS angstrom
Sr 0.000 0.000 0.000
Zn 2.696 -1.489 2.246
In 1.498 1.152 3.310
Au 0.074 -1.238 3.154
Au 4.120 0.900 2.401

---

The highest Fermi-level density of states belongs to which entry?
SrZn2InAu